[1]
# CaOsSeBr2 (PBE, optimized geometry)
data_CaOsSeBr2
_cell_length_a 5.2044
_cell_length_b 5.2044
_cell_length_c 4.8081
_cell_angle_alpha 90.00
_cell_angle_beta 90.00
_cell_angle_gamma 90.00
_space_group_name_H-M_alt 'P 4/m m m'
_space_group_IT_number 123
_space_group_name_Hall '-P 4 2'
loop_
_atom_site_label
_atom_site_type_symbol
_atom_site_fract_x
_atom_site_fract_y
_atom_site_fract_z
Ca1 Ca 0.0000 0.0000 0.0000
Os1 Os 0.5000 0.5000 0.5000
Se1 Se 0.5000 0.5000 0.0000
Br1 Br 0.0000 0.5000 0.5000
# **Energy relative to the lowest polymorph listed for this composition**: 0 meV per atom

[2]
# CaOsSe2Br (PBE, optimized geometry)
data_CaOsSe2Br
_cell_length_a 4.9225
_cell_length_b 4.9225
_cell_length_c 5.2278
_cell_angle_alpha 90.00
_cell_angle_beta 90.00
_cell_angle_gamma 90.00
_space_group_name_H-M_alt 'P 4/m m m'
_space_group_IT_number 123
_space_group_name_Hall '-P 4 2'
loop_
_atom_site_label
_atom_site_type_symbol
_atom_site_fract_x
_atom_site_fract_y
_atom_site_fract_z
Ca1 Ca 0.0000 0.0000 0.0000
Os1 Os 0.5000 0.5000 0.5000
Se1 Se 0.0000 0.5000 0.5000
Br1 Br 0.5000 0.5000 0.0000
# **Energy relative to the lowest polymorph listed for this composition**: 0 meV per atom

[3]
# CaOsSe2Br (PBE, optimized geometry)
data_CaOsSe2Br
_cell_length_a 5.4848
_cell_length_b 5.4848
_cell_length_c 5.2846
_cell_angle_alpha 90.00
_cell_angle_beta 90.00
_cell_angle_gamma 90.00
_space_group_name_H-M_alt 'P 4/m m m'
_space_group_IT_number 123
_space_group_name_Hall '-P 4 2'
loop_
_atom_site_label
_atom_site_type_symbol
_atom_site_fract_x
_atom_site_fract_y
_atom_site_fract_z
Ca1 Ca 0.0000 0.0000 0.0000
Os1 Os 0.5000 0.5000 0.5000
Se1 Se 0.0000 0.5000 0.0000
Br1 Br 0.0000 0.0000 0.5000
# **Energy relative to the lowest polymorph listed for this composition**: 1155 meV per atom

Number 1: formation energy from raw total energies -0.19 eV/atom. Number 2: formation energy from raw total energies -0.20 eV/atom. Number 3: formation energy from raw total energies 0.95 eV/atom.